No. 1
A plane-wave DFT calculation with PBE was carried out for a relaxed structure of CaGa2Au6.

Computed properties:
formation enthalpy at 0 K	-0.315	eV/atom
distance to the lowest polymorph of the same formula	0	meV per atom
mass density	12.391	g/cm³
M_tot	0.0	μB/f.u.

Lattice parameters (Å, degrees): 5.484 6.010 6.010 67.99 84.48 84.48
Fractional positions:
Ca (0.000, 0.000, 0.000)
Au (0.753, 0.947, 0.513)
Au (0.500, 0.767, 0.233)
Au (0.247, 0.487, 0.053)
Au (0.500, 0.233, 0.767)
Au (0.247, 0.053, 0.487)
Au (0.753, 0.513, 0.947)
Ga (0.854, 0.401, 0.401)
Ga (0.146, 0.599, 0.599)

No. 2
A plane-wave DFT calculation with PBE was carried out for a relaxed structure of RbV2Br2.

Computed properties:
distance to the lowest polymorph of the same formula	306	meV per atom
uncorrected formation energy	254	meV per atom
mass density	3.408	g/cm³
M_tot	0.0	μB/f.u.

Lattice parameters (Å, degrees): 9.005 9.005 4.173 90.00 90.00 90.00
Fractional positions:
Br (0.866, 0.634, 0.000)
Br (0.134, 0.366, 0.000)
Br (0.366, 0.866, 0.000)
Br (0.634, 0.134, 0.000)
V (0.070, 0.570, 0.500)
V (0.430, 0.070, 0.500)
V (0.570, 0.930, 0.500)
V (0.930, 0.430, 0.500)
Rb (0.000, 0.000, 0.000)
Rb (0.500, 0.500, 0.000)

No. 3
A plane-wave DFT calculation with PBE was carried out for a relaxed structure of InSiGe.

Computed properties:
distance to the lowest polymorph of the same formula	8	meV per atom
uncorrected formation energy	208	meV per atom
mass density	5.318	g/cm³
M_tot	0.0	μB/f.u.

Lattice parameters (Å, degrees): 3.925 5.688 6.708 94.84 106.70 107.25
Fractional positions:
Ge (0.446, 0.210, 0.245)
Ge (0.920, 0.551, 0.903)
In (0.332, 0.695, 0.340)
In (0.104, 0.155, 0.603)
Si (0.792, 0.136, 0.002)
Si (0.435, 0.739, 0.766)

No. 4
A plane-wave DFT calculation with PBE was carried out for a relaxed structure of HoErLu2.

Computed properties:
formation enthalpy at 0 K	0.032	eV/atom
distance to the lowest polymorph of the same formula	2	meV per atom
mass density	9.520	g/cm³
M_tot	0.0	μB/f.u.

Lattice parameters (Å, degrees): 3.483 3.483 11.501 81.29 81.29 60.00
Fractional positions:
Er (0.000, 0.000, 0.000)
Lu (0.750, 0.750, 0.751)
Lu (0.250, 0.250, 0.249)
Ho (0.500, 0.500, 0.500)

No. 5
A plane-wave DFT calculation with PBE was carried out for a relaxed structure of PmZr2Cd6.

Computed properties:
formation enthalpy at 0 K	-0.147	eV/atom
mass density	8.101	g/cm³
M_tot	0.0	μB/f.u.

Lattice parameters (Å, degrees): 5.911 5.911 5.911 93.49 93.46 93.46
Fractional positions:
Cd (0.167, 0.832, 0.500)
Cd (0.500, 0.832, 0.168)
Cd (0.833, 0.500, 0.168)
Cd (0.500, 0.168, 0.832)
Cd (0.167, 0.500, 0.832)
Cd (0.833, 0.168, 0.500)
Zr (0.348, 0.348, 0.348)
Zr (0.652, 0.652, 0.652)
Pm (0.000, 0.000, 0.000)

No. 6
A plane-wave DFT calculation with PBE was carried out for a relaxed structure of Sr3Au.

Computed properties:
formation enthalpy at 0 K	-0.397	eV/atom
mass density	4.842	g/cm³
M_tot	0.0	μB/f.u.

Lattice parameters (Å, degrees): 6.942 13.481 13.481 90.00 90.00 90.00
Fractional positions:
Sr (0.268, 0.867, 0.958)
Sr (0.538, 0.380, 0.916)
Sr (0.038, 0.584, 0.880)
Sr (0.462, 0.916, 0.620)
Sr (0.470, 0.781, 0.331)
Sr (0.768, 0.458, 0.633)
Sr (0.732, 0.958, 0.133)
Sr (0.530, 0.331, 0.219)
Sr (0.268, 0.133, 0.042)
Sr (0.462, 0.084, 0.380)
Sr (0.030, 0.719, 0.169)
Sr (0.030, 0.281, 0.831)
Sr (0.962, 0.880, 0.416)
Sr (0.962, 0.120, 0.584)
Sr (0.538, 0.620, 0.084)
Sr (0.232, 0.633, 0.542)
Sr (0.970, 0.831, 0.719)
Sr (0.768, 0.542, 0.367)
Sr (0.732, 0.042, 0.867)
Sr (0.530, 0.669, 0.781)
Sr (0.970, 0.169, 0.281)
Sr (0.232, 0.367, 0.458)
Sr (0.470, 0.219, 0.669)
Sr (0.038, 0.416, 0.120)
Au (0.786, 0.796, 0.946)
Au (0.214, 0.054, 0.796)
Au (0.214, 0.946, 0.204)
Au (0.286, 0.446, 0.704)
Au (0.714, 0.704, 0.554)
Au (0.714, 0.296, 0.446)
Au (0.786, 0.204, 0.054)
Au (0.286, 0.554, 0.296)